1.
# LaCu3

A geometry-optimized LaCu3 structure (GGA-PBE, Alexandria via LeMat-Bulk).

For the calculated volume, the calculation gives 147.26 Å³ per cell. The total energy is -4.267 eV per atom. For the spin magnetization, the calculation gives 0.000 μB/atom.

It has space group Pm-3n (No. 223), with a = 5.2808 Å, b = 5.2808 Å, c = 5.2808 Å, α = 90.00°, β = 90.00° and γ = 90.00°. Symmetry generates all atoms from La at (0.0000, 0.0000, 0.0000) and Cu at (0.0000, 0.2500, 0.5000).

---

2.
# LaCu

A geometry-optimized LaCu structure (GGA-PBE, Alexandria via LeMat-Bulk).

For the calculated volume, the calculation gives 430.42 Å³ per cell. The total energy is -4.398 eV per atom. For the spin magnetization, the calculation gives 0.000 μB/atom.

It has space group I4/m (No. 87), with a = 9.8514 Å, b = 9.8514 Å, c = 4.4351 Å, α = 90.00°, β = 90.00° and γ = 90.00°. Symmetry generates all atoms from La at (0.1120, 0.2231, 0.0000) and Cu at (0.0575, 0.3940, 0.5000).

---

3.
# LaCu

A geometry-optimized LaCu structure (GGA-PBE, Alexandria via LeMat-Bulk).

For the calculated volume, the calculation gives 618.59 Å³ per cell. The total energy is -4.092 eV per atom. For the spin magnetization, the calculation gives 0.000 μB/atom.

It has space group I-43m (No. 217), with a = 8.5205 Å, b = 8.5205 Å, c = 8.5205 Å, α = 90.00°, β = 90.00° and γ = 90.00°. Symmetry generates all atoms from La at (0.2021, 0.2021, 0.7979) and Cu at (0.1061, 0.1061, 0.1061).

---

4.
# La4Cu3

A geometry-optimized La4Cu3 structure (GGA-PBE, Alexandria via LeMat-Bulk).

For the calculated volume, the calculation gives 374.54 Å³ per cell. The energy above the most stable polymorph in this dataset is 0.0 meV per atom. The total energy is -4.600 eV per atom. For the spin magnetization, the calculation gives 0.000 μB/atom.

It has space group I4/mmm (No. 139), with a = 3.6189 Å, b = 3.6189 Å, c = 28.5992 Å, α = 90.00°, β = 90.00° and γ = 90.00°. Symmetry generates all atoms from La at (0.0000, 0.0000, 0.0622), La at (0.0000, 0.0000, 0.3318), Cu at (0.0000, 0.0000, 0.2303) and Cu at (0.0000, 0.0000, 0.5000).

---

5.
# La8Cu

A geometry-optimized La8Cu structure (GGA-PBE, Alexandria via LeMat-Bulk).

For the calculated volume, the calculation gives 599.75 Å³ per cell. The total energy is -4.758 eV per atom. For the spin magnetization, the calculation gives 0.000 μB/atom.

It has space group I4/mmm (No. 139), with a = 10.7288 Å, b = 10.7288 Å, c = 5.2104 Å, α = 90.00°, β = 90.00° and γ = 90.00°. Symmetry generates all atoms from La at (0.0000, 0.3106, 0.0000), La at (0.1686, 0.1686, 0.5000) and Cu at (0.0000, 0.0000, 0.0000).

---

6.
# LaCu

A geometry-optimized LaCu structure (GGA-PBE, Alexandria via LeMat-Bulk).

For the calculated volume, the calculation gives 54.60 Å³ per cell. The total energy is -4.507 eV per atom. For the spin magnetization, the calculation gives 0.000 μB/atom.

It has space group P-6m2 (No. 187), with a = 4.0156 Å, b = 4.0156 Å, c = 3.9102 Å, α = 90.00°, β = 90.00° and γ = 120.00°. Symmetry generates all atoms from La at (0.0000, 0.0000, 0.0000) and Cu at (0.6667, 0.3333, 0.5000).

---

> What is the spin magnetization in the first record?

0.000 μB/atom